[1]
DFT (PBE) results for Ni3SnH after structural relaxation.

Calculated values
Symmetry = C2/m, No. 12
Energy above the most stable polymorph in this dataset = 51 meV/atom
Mass density = 8.9 g/cm3

Cell lengths 5.225, 5.225, 6.304 Å; angles 125.71, 125.71, 60.88 degrees
Atoms (fractional coordinates):
1 Ni 0.197 0.726 0.671
2 Ni 0.274 0.803 0.329
3 Ni 0.279 0.279 0.814
4 Ni 0.721 0.721 0.186
5 Ni 0.726 0.197 0.671
6 Ni 0.803 0.274 0.329
7 Sn 0.230 0.230 0.191
8 Sn 0.770 0.770 0.809
9 H 0.478 0.478 0.831
10 H 0.522 0.522 0.169



[2]
DFT (PBE) results for Ni3SnH after structural relaxation.

Calculated values
Symmetry = C2/c, No. 15
Energy above the most stable polymorph in this dataset = 149 meV/atom
Mass density = 8.5 g/cm3

Cell lengths 7.063, 7.063, 5.246 Å; angles 100.89, 100.89, 65.54 degrees
Atoms (fractional coordinates):
1 Ni 0.001 0.341 0.596
2 Ni 0.002 0.340 0.076
3 Ni 0.325 0.326 0.913
4 Ni 0.326 0.325 0.413
5 Ni 0.340 0.002 0.576
6 Ni 0.341 0.001 0.096
7 Ni 0.659 0.999 0.904
8 Ni 0.660 0.998 0.424
9 Ni 0.674 0.675 0.587
10 Ni 0.675 0.674 0.087
11 Ni 0.998 0.660 0.924
12 Ni 0.999 0.659 0.404
13 Sn 0.073 0.927 0.750
14 Sn 0.358 0.642 0.250
15 Sn 0.642 0.358 0.750
16 Sn 0.927 0.073 0.250
17 H 0.166 0.487 0.665
18 H 0.487 0.166 0.165
19 H 0.513 0.834 0.835
20 H 0.834 0.513 0.335



[3]
DFT (PBE) results for Ni3SnH after structural relaxation.

Calculated values
Symmetry = C2/m, No. 12
Energy above the most stable polymorph in this dataset = 226 meV/atom
Mass density = 7.9 g/cm3

Cell lengths 6.293, 6.293, 5.942 Å; angles 112.65, 112.65, 35.06 degrees
Atoms (fractional coordinates):
1 Ni 0.036 0.036 0.216
2 Ni 0.138 0.138 0.678
3 Ni 0.329 0.329 0.569
4 Ni 0.671 0.671 0.431
5 Ni 0.862 0.862 0.322
6 Ni 0.964 0.964 0.784
7 Sn 0.370 0.370 0.034
8 Sn 0.630 0.630 0.966
9 H 0.177 0.177 0.432
10 H 0.823 0.823 0.568



[4]
DFT (PBE) results for Ni3SnH after structural relaxation.

Calculated values
Symmetry = P6_3/mmc, No. 194
Energy above the most stable polymorph in this dataset = 352 meV/atom
Mass density = 8.2 g/cm3

Cell lengths 2.998, 2.998, 15.313 Å; angles 90.00, 90.00, 120.00 degrees
Atoms (fractional coordinates):
1 Ni 0.000 0.000 0.250
2 Ni 0.000 0.000 0.750
3 Ni 0.333 0.667 0.128
4 Ni 0.333 0.667 0.372
5 Ni 0.667 0.333 0.628
6 Ni 0.667 0.333 0.872
7 Sn 0.000 0.000 0.000
8 Sn 0.000 0.000 0.500
9 H 0.333 0.667 0.250
10 H 0.667 0.333 0.750



[5]
DFT (PBE) results for Ni5Sn3H12 after structural relaxation.

Calculated values
Electronic total energy = -3.8212 eV per atom
Symmetry = Ia-3d, No. 230
Mass density = 6.0 g/cm3

Cell lengths 9.856, 9.856, 9.856 Å; angles 109.47, 109.47, 109.47 degrees
Atoms (fractional coordinates):
1 Ni 0.000 0.000 0.000
2 Ni 0.000 0.000 0.500
3 Ni 0.000 0.500 0.000
4 Ni 0.000 0.500 0.500
5 Ni 0.125 0.750 0.875
6 Ni 0.125 0.875 0.250
7 Ni 0.250 0.125 0.875
8 Ni 0.250 0.625 0.375
9 Ni 0.375 0.250 0.625
10 Ni 0.375 0.625 0.750
11 Ni 0.500 0.000 0.000
12 Ni 0.500 0.000 0.500
13 Ni 0.500 0.500 0.000
14 Ni 0.500 0.500 0.500
15 Ni 0.625 0.375 0.250
16 Ni 0.625 0.750 0.375
17 Ni 0.750 0.375 0.625
18 Ni 0.750 0.875 0.125
19 Ni 0.875 0.125 0.750
20 Ni 0.875 0.250 0.125
21 Sn 0.125 0.250 0.375
22 Sn 0.125 0.375 0.750
23 Sn 0.250 0.375 0.125
24 Sn 0.250 0.875 0.625
25 Sn 0.375 0.125 0.250
26 Sn 0.375 0.750 0.125
27 Sn 0.625 0.250 0.875
28 Sn 0.625 0.875 0.750
29 Sn 0.750 0.125 0.375
30 Sn 0.750 0.625 0.875
31 Sn 0.875 0.625 0.250
32 Sn 0.875 0.750 0.625
33 H 0.018 0.688 0.096
34 H 0.018 0.830 0.923
35 H 0.077 0.596 0.908
36 H 0.077 0.982 0.170
37 H 0.092 0.670 0.688
38 H 0.092 0.923 0.404
39 H 0.096 0.018 0.688
40 H 0.096 0.577 0.408
41 H 0.170 0.077 0.982
42 H 0.170 0.592 0.188
43 H 0.188 0.170 0.592
44 H 0.188 0.518 0.596
45 H 0.312 0.904 0.982
46 H 0.312 0.908 0.330
47 H 0.330 0.312 0.908
48 H 0.330 0.518 0.423
49 H 0.404 0.092 0.923
50 H 0.404 0.812 0.482
51 H 0.408 0.096 0.577
52 H 0.408 0.812 0.830
53 H 0.423 0.330 0.518
54 H 0.423 0.592 0.904
55 H 0.482 0.404 0.812
56 H 0.482 0.577 0.670
57 H 0.518 0.423 0.330
58 H 0.518 0.596 0.188
59 H 0.577 0.408 0.096
60 H 0.577 0.670 0.482
61 H 0.592 0.188 0.170
62 H 0.592 0.904 0.423
63 H 0.596 0.188 0.518
64 H 0.596 0.908 0.077
65 H 0.670 0.482 0.577
66 H 0.670 0.688 0.092
67 H 0.688 0.092 0.670
68 H 0.688 0.096 0.018
69 H 0.812 0.482 0.404
70 H 0.812 0.830 0.408
71 H 0.830 0.408 0.812
72 H 0.830 0.923 0.018
73 H 0.904 0.423 0.592
74 H 0.904 0.982 0.312
75 H 0.908 0.077 0.596
76 H 0.908 0.330 0.312
77 H 0.923 0.018 0.830
78 H 0.923 0.404 0.092
79 H 0.982 0.170 0.077
80 H 0.982 0.312 0.904



[6]
DFT (PBE) results for Ni3SnH after structural relaxation.

Calculated values
Symmetry = P6_3/mmc, No. 194
Energy above the most stable polymorph in this dataset = 341 meV/atom
Mass density = 8.4 g/cm3

Cell lengths 4.233, 4.233, 7.493 Å; angles 90.00, 90.00, 120.00 degrees
Atoms (fractional coordinates):
1 Ni 0.000 0.000 0.250
2 Ni 0.000 0.000 0.750
3 Ni 0.333 0.667 0.086
4 Ni 0.333 0.667 0.414
5 Ni 0.667 0.333 0.586
6 Ni 0.667 0.333 0.914
7 Sn 0.333 0.667 0.750
8 Sn 0.667 0.333 0.250
9 H 0.000 0.000 0.000
10 H 0.000 0.000 0.500



[7]
DFT (PBE) results for Ni4SnH after structural relaxation.

Calculated values
Electronic total energy = -5.1305 eV per atom
Symmetry = P-1, No. 2
Mass density = 8.9 g/cm3

Cell lengths 4.554, 5.446, 6.019 Å; angles 106.06, 112.12, 90.10 degrees
Atoms (fractional coordinates):
1 Ni 0.003 0.055 0.295
2 Ni 0.194 0.345 0.090
3 Ni 0.207 0.443 0.704
4 Ni 0.395 0.844 0.089
5 Ni 0.605 0.156 0.911
6 Ni 0.793 0.557 0.296
7 Ni 0.806 0.655 0.910
8 Ni 0.997 0.945 0.705
9 Sn 0.378 0.750 0.501
10 Sn 0.622 0.250 0.499
11 H 0.000 0.000 0.000
12 H 0.500 0.500 0.000



[8]
DFT (PBE) results for Ni6Sn2H after structural relaxation.

Calculated values
Electronic total energy = -5.3188 eV per atom
Symmetry = Fm-3m, No. 225
Mass density = 9.3 g/cm3

Cell lengths 5.308, 5.308, 5.308 Å; angles 60.00, 60.00, 60.00 degrees
Atoms (fractional coordinates):
1 Ni 0.248 0.248 0.752
2 Ni 0.248 0.752 0.248
3 Ni 0.248 0.752 0.752
4 Ni 0.752 0.248 0.248
5 Ni 0.752 0.248 0.752
6 Ni 0.752 0.752 0.248
7 Sn 0.250 0.250 0.250
8 Sn 0.750 0.750 0.750
9 H 0.500 0.500 0.500



[9]
DFT (PBE) results for Ni3SnH after structural relaxation.

Calculated values
Symmetry = R-3c, No. 167
Energy above the most stable polymorph in this dataset = 230 meV/atom
Mass density = 8.6 g/cm3

Cell lengths 4.874, 4.874, 4.874 Å; angles 84.09, 84.09, 84.09 degrees
Atoms (fractional coordinates):
1 Ni 0.001 0.250 0.499
2 Ni 0.250 0.499 0.001
3 Ni 0.499 0.001 0.250
4 Ni 0.501 0.999 0.750
5 Ni 0.750 0.501 0.999
6 Ni 0.999 0.750 0.501
7 Sn 0.000 0.000 0.000
8 Sn 0.500 0.500 0.500
9 H 0.250 0.250 0.250
10 H 0.750 0.750 0.750



[10]
DFT (PBE) results for Ni3SnH after structural relaxation.

Calculated values
Symmetry = P4mm, No. 99
Energy above the most stable polymorph in this dataset = 416 meV/atom
Mass density = 6.7 g/cm3

Cell lengths 3.446, 3.446, 6.147 Å; angles 90.00, 90.00, 90.00 degrees
Atoms (fractional coordinates):
1 Ni 0.000 0.000 0.000
2 Ni 0.000 0.500 0.721
3 Ni 0.500 0.000 0.721
4 Sn 0.000 0.000 0.398
5 H 0.500 0.500 0.760



[11]
DFT (PBE) results for Ni2SnH2 after structural relaxation.

Calculated values
Symmetry = C2/m, No. 12
Energy above the most stable polymorph in this dataset = 0 meV/atom
Mass density = 7.5 g/cm3

Cell lengths 4.980, 4.980, 3.496 Å; angles 110.42, 110.42, 41.18 degrees
Atoms (fractional coordinates):
1 Ni 0.250 0.250 0.250
2 Ni 0.750 0.750 0.750
3 Sn 0.000 0.000 0.500
4 H 0.301 0.301 0.801
5 H 0.699 0.699 0.199



[12]
DFT (PBE) results for Ni3SnH after structural relaxation.

Calculated values
Symmetry = Pnma, No. 62
Energy above the most stable polymorph in this dataset = 198 meV/atom
Mass density = 8.3 g/cm3

Cell lengths 4.742, 6.923, 7.190 Å; angles 90.00, 90.00, 90.00 degrees
Atoms (fractional coordinates):
1 Ni 0.026 0.074 0.158
2 Ni 0.026 0.426 0.158
3 Ni 0.204 0.250 0.811
4 Ni 0.296 0.750 0.311
5 Ni 0.474 0.574 0.658
6 Ni 0.474 0.926 0.658
7 Ni 0.526 0.074 0.342
8 Ni 0.526 0.426 0.342
9 Ni 0.704 0.250 0.689
10 Ni 0.796 0.750 0.189
11 Ni 0.974 0.574 0.842
12 Ni 0.974 0.926 0.842
13 Sn 0.000 0.000 0.500
14 Sn 0.000 0.500 0.500
15 Sn 0.500 0.000 0.000
16 Sn 0.500 0.500 0.000
17 H 0.011 0.750 0.001
18 H 0.489 0.250 0.501
19 H 0.511 0.750 0.499
20 H 0.989 0.250 0.999



[13]
DFT (PBE) results for Ni3SnH after structural relaxation.

Calculated values
Symmetry = P2_1/m, No. 11
Energy above the most stable polymorph in this dataset = 119 meV/atom
Mass density = 8.0 g/cm3

Cell lengths 4.064, 5.130, 6.205 Å; angles 90.00, 107.63, 90.00 degrees
Atoms (fractional coordinates):
1 Ni 0.136 0.250 0.248
2 Ni 0.303 0.506 0.620
3 Ni 0.303 0.994 0.620
4 Ni 0.697 0.006 0.380
5 Ni 0.697 0.494 0.380
6 Ni 0.864 0.750 0.752
7 Sn 0.110 0.750 0.197
8 Sn 0.890 0.250 0.803
9 H 0.463 0.750 0.799
10 H 0.537 0.250 0.201



[14]
DFT (PBE) results for Ni3SnH after structural relaxation.

Calculated values
Symmetry = P6_3/mmc, No. 194
Energy above the most stable polymorph in this dataset = 11 meV/atom
Mass density = 9.1 g/cm3

Cell lengths 5.316, 5.316, 4.400 Å; angles 90.00, 90.00, 120.00 degrees
Atoms (fractional coordinates):
1 Ni 0.165 0.330 0.250
2 Ni 0.165 0.835 0.250
3 Ni 0.330 0.165 0.750
4 Ni 0.670 0.835 0.250
5 Ni 0.835 0.165 0.750
6 Ni 0.835 0.670 0.750
7 Sn 0.333 0.667 0.750
8 Sn 0.667 0.333 0.250
9 H 0.000 0.000 0.000
10 H 0.000 0.000 0.500



[15]
DFT (PBE) results for Ni3SnH after structural relaxation.

Calculated values
Symmetry = P2_1/m, No. 11
Energy above the most stable polymorph in this dataset = 63 meV/atom
Mass density = 9.0 g/cm3

Cell lengths 4.366, 5.249, 4.775 Å; angles 90.00, 93.09, 90.00 degrees
Atoms (fractional coordinates):
1 Ni 0.247 0.250 0.168
2 Ni 0.250 0.501 0.656
3 Ni 0.250 0.999 0.656
4 Ni 0.750 0.001 0.344
5 Ni 0.750 0.499 0.344
6 Ni 0.753 0.750 0.832
7 Sn 0.266 0.750 0.150
8 Sn 0.734 0.250 0.850
9 H 0.065 0.250 0.458
10 H 0.935 0.750 0.542



[16]
DFT (PBE) results for Ni3SnH after structural relaxation.

Calculated values
Symmetry = Pm-3m, No. 221
Energy above the most stable polymorph in this dataset = 0 meV/atom
Mass density = 9.1 g/cm3

Cell lengths 3.775, 3.775, 3.775 Å; angles 90.00, 90.00, 90.00 degrees
Atoms (fractional coordinates):
1 Ni 0.000 0.000 0.500
2 Ni 0.000 0.500 0.000
3 Ni 0.500 0.000 0.000
4 Sn 0.500 0.500 0.500
5 H 0.000 0.000 0.000



[17]
DFT (PBE) results for Ni3SnH after structural relaxation.

Calculated values
Symmetry = I-4m2, No. 119
Energy above the most stable polymorph in this dataset = 268 meV/atom
Mass density = 8.3 g/cm3

Cell lengths 6.023, 6.023, 6.023 Å; angles 132.05, 132.05, 70.16 degrees
Atoms (fractional coordinates):
1 Ni 0.134 0.134 0.000
2 Ni 0.360 0.115 0.755
3 Ni 0.360 0.605 0.245
4 Ni 0.395 0.640 0.755
5 Ni 0.866 0.866 0.000
6 Ni 0.885 0.640 0.245
7 Sn 0.590 0.090 0.500
8 Sn 0.910 0.410 0.500
9 H 0.250 0.750 0.500
10 H 0.500 0.500 0.000



[18]
DFT (PBE) results for Ni3SnH after structural relaxation.

Calculated values
Symmetry = Pm-3m, No. 221
Energy above the most stable polymorph in this dataset = 1803 meV/atom
Mass density = 4.5 g/cm3

Cell lengths 4.773, 4.773, 4.773 Å; angles 90.00, 90.00, 90.00 degrees
Atoms (fractional coordinates):
1 Ni 0.000 0.000 0.500
2 Ni 0.000 0.500 0.000
3 Ni 0.500 0.000 0.000
4 Sn 0.000 0.000 0.000
5 H 0.500 0.500 0.500



[19]
DFT (PBE) results for Ni3SnH after structural relaxation.

Calculated values
Symmetry = Cmcm, No. 63
Energy above the most stable polymorph in this dataset = 298 meV/atom
Mass density = 8.2 g/cm3

Cell lengths 5.242, 5.242, 5.091 Å; angles 90.00, 90.00, 121.45 degrees
Atoms (fractional coordinates):
1 Ni 0.000 0.000 0.000
2 Ni 0.000 0.000 0.500
3 Ni 0.075 0.473 0.750
4 Ni 0.473 0.075 0.250
5 Ni 0.527 0.925 0.750
6 Ni 0.925 0.527 0.250
7 Sn 0.423 0.577 0.250
8 Sn 0.577 0.423 0.750
9 H 0.111 0.889 0.250
10 H 0.889 0.111 0.750



The DOS at the Fermi energy results, record by record, are as follows: 0.389, 0.573, 0.750, 0.439, 0.324, 0.329, 0.828, 0.436, 0.662, 0.960, 0.286, 0.672, 0.466, 0.496, 0.520, 0.761, 0.694, 2.192, 1.052 states/eV per atom.